# 1
A plane-wave DFT calculation with PBE was carried out for CeTmP2Rh5 after structural relaxation.

- ΔE_f (eV/f.u.) = -7.1
- N(E_F) (states/eV per atom) = 0.87
- magnetic moment (μB/cell) = 0.66

Lattice parameters (Å, degrees): 4.0451 4.0451 10.6168 90.00 90.00 90.00
Space group P4/mmm (No. 123)
Symmetry-distinct sites (fractional):
Ce1 0.0000 0.0000 0.0000 (multiplicity 1)
Tm1 0.0000 0.0000 0.5000 (multiplicity 1)
P1 0.5000 0.5000 0.2150 (multiplicity 2)
Rh1 0.0000 0.5000 0.3080 (multiplicity 4)
Rh2 0.5000 0.5000 0.0000 (multiplicity 1)

# 2
A plane-wave DFT calculation with PBE was carried out for Ce2TmP3Rh4 after structural relaxation.

- ΔE_f (eV/f.u.) = -10.9
- N(E_F) (states/eV per atom) = 1.06
- magnetic moment (μB/cell) = 0.85

Lattice parameters (Å, degrees): 3.9851 3.9851 11.2406 90.00 90.00 90.00
Space group P-4m2 (No. 115)
Symmetry-distinct sites (fractional):
Ce1 0.0000 0.5000 0.2261 (multiplicity 2)
Tm1 0.0000 0.0000 0.5000 (multiplicity 1)
P1 0.0000 0.5000 0.8764 (multiplicity 2)
P2 0.5000 0.5000 0.5000 (multiplicity 1)
Rh1 0.0000 0.0000 0.0000 (multiplicity 1)
Rh2 0.0000 0.5000 0.6675 (multiplicity 2)
Rh3 0.5000 0.5000 0.0000 (multiplicity 1)

# 3
A plane-wave DFT calculation with PBE was carried out for CeUP2Rh5 after structural relaxation.

- ΔE_f (eV/f.u.) = -6.5
- N(E_F) (states/eV per atom) = 1.48
- magnetic moment (μB/cell) = 0.15

Lattice parameters (Å, degrees): 4.0062 4.0062 10.7217 90.00 90.00 90.00
Space group P4/mmm (No. 123)
Symmetry-distinct sites (fractional):
Ce1 0.0000 0.0000 0.0000 (multiplicity 1)
U1 0.0000 0.0000 0.5000 (multiplicity 1)
P1 0.5000 0.5000 0.2129 (multiplicity 2)
Rh1 0.0000 0.5000 0.3210 (multiplicity 4)
Rh2 0.5000 0.5000 0.0000 (multiplicity 1)

# 4
A plane-wave DFT calculation with PBE was carried out for Ce2UP3Rh4 after structural relaxation.

- ΔE_f (eV/f.u.) = -9.7
- N(E_F) (states/eV per atom) = 1.55
- magnetic moment (μB/cell) = 3.33

Lattice parameters (Å, degrees): 4.0298 4.0298 11.0630 90.00 90.00 90.00
Space group P-4m2 (No. 115)
Symmetry-distinct sites (fractional):
Ce1 0.0000 0.5000 0.2292 (multiplicity 2)
U1 0.0000 0.0000 0.5000 (multiplicity 1)
P1 0.0000 0.5000 0.8764 (multiplicity 2)
P2 0.5000 0.5000 0.5000 (multiplicity 1)
Rh1 0.0000 0.0000 0.0000 (multiplicity 1)
Rh2 0.0000 0.5000 0.6640 (multiplicity 2)
Rh3 0.5000 0.5000 0.0000 (multiplicity 1)

# 5
A plane-wave DFT calculation with PBE was carried out for Ce2YP3Rh4 after structural relaxation.

- ΔE_f (eV/f.u.) = -10.6
- N(E_F) (states/eV per atom) = 1.12
- magnetic moment (μB/cell) = 0.97

Lattice parameters (Å, degrees): 3.9890 3.9890 11.3752 90.00 90.00 90.00
Space group P-4m2 (No. 115)
Symmetry-distinct sites (fractional):
Ce1 0.0000 0.5000 0.2246 (multiplicity 2)
Y1 0.0000 0.0000 0.5000 (multiplicity 1)
P1 0.0000 0.5000 0.8787 (multiplicity 2)
P2 0.5000 0.5000 0.5000 (multiplicity 1)
Rh1 0.0000 0.0000 0.0000 (multiplicity 1)
Rh2 0.0000 0.5000 0.6733 (multiplicity 2)
Rh3 0.5000 0.5000 0.0000 (multiplicity 1)

# 6
A plane-wave DFT calculation with PBE was carried out for CeYP2Rh2 after structural relaxation.

- ΔE_f (eV/f.u.) = -7.5
- N(E_F) (states/eV per atom) = 0.62
- magnetic moment (μB/cell) = 0.00

Lattice parameters (Å, degrees): 4.0926 4.0926 7.7844 90.00 90.00 120.00
Space group P-3m1 (No. 164)
Symmetry-distinct sites (fractional):
Ce1 0.0000 0.0000 0.0000 (multiplicity 1)
Y1 0.0000 0.0000 0.5000 (multiplicity 1)
P1 0.3333 0.6667 0.2641 (multiplicity 2)
Rh1 0.3333 0.6667 0.7604 (multiplicity 2)

# 7
A plane-wave DFT calculation with PBE was carried out for Ce3Zn2P4Rh2 after structural relaxation.

- ΔE_f (eV/f.u.) = -11.1
- N(E_F) (states/eV per atom) = 1.21
- magnetic moment (μB/cell) = 1.95

Lattice parameters (Å, degrees): 4.1370 4.1370 14.3773 90.00 90.00 120.00
Space group P-3m1 (No. 164)
Symmetry-distinct sites (fractional):
Ce1 0.0000 0.0000 0.0000 (multiplicity 1)
Ce2 0.0000 0.0000 0.2628 (multiplicity 2)
Zn1 0.3333 0.6667 0.5654 (multiplicity 2)
P1 0.3333 0.6667 0.3915 (multiplicity 2)
P2 0.3333 0.6667 0.8570 (multiplicity 2)
Rh1 0.3333 0.6667 0.1269 (multiplicity 2)

# 8
A plane-wave DFT calculation with PBE was carried out for Ce2ZnP3Rh4 after structural relaxation.

- ΔE_f (eV/f.u.) = -10.1
- N(E_F) (states/eV per atom) = 0.76
- magnetic moment (μB/cell) = 0.00

Lattice parameters (Å, degrees): 4.0560 4.0560 10.1237 90.00 90.00 90.00
Space group P-4m2 (No. 115)
Symmetry-distinct sites (fractional):
Ce1 0.0000 0.5000 0.2486 (multiplicity 2)
Zn1 0.5000 0.5000 0.0000 (multiplicity 1)
P1 0.0000 0.0000 0.0000 (multiplicity 1)
P2 0.0000 0.5000 0.6333 (multiplicity 2)
Rh1 0.0000 0.0000 0.5000 (multiplicity 1)
Rh2 0.0000 0.5000 0.8613 (multiplicity 2)
Rh3 0.5000 0.5000 0.5000 (multiplicity 1)

# 9
A plane-wave DFT calculation with PBE was carried out for Ce2ZrP3Rh4 after structural relaxation.

- ΔE_f (eV/f.u.) = -10.7
- N(E_F) (states/eV per atom) = 0.85
- magnetic moment (μB/cell) = 0.52

Lattice parameters (Å, degrees): 3.9985 3.9985 10.9350 90.00 90.00 90.00
Space group P-4m2 (No. 115)
Symmetry-distinct sites (fractional):
Ce1 0.0000 0.5000 0.2288 (multiplicity 2)
Zr1 0.0000 0.0000 0.5000 (multiplicity 1)
P1 0.0000 0.5000 0.8716 (multiplicity 2)
P2 0.5000 0.5000 0.5000 (multiplicity 1)
Rh1 0.0000 0.0000 0.0000 (multiplicity 1)
Rh2 0.0000 0.5000 0.6566 (multiplicity 2)
Rh3 0.5000 0.5000 0.0000 (multiplicity 1)

# 10
A plane-wave DFT calculation with PBE was carried out for CeZrP2Rh5 after structural relaxation.

- ΔE_f (eV/f.u.) = -7.0
- N(E_F) (states/eV per atom) = 0.94
- magnetic moment (μB/cell) = 0.80

Lattice parameters (Å, degrees): 4.0364 4.0364 10.4002 90.00 90.00 90.00
Space group P4/mmm (No. 123)
Symmetry-distinct sites (fractional):
Ce1 0.0000 0.0000 0.0000 (multiplicity 1)
Zr1 0.0000 0.0000 0.5000 (multiplicity 1)
P1 0.5000 0.5000 0.2196 (multiplicity 2)
Rh1 0.0000 0.5000 0.3189 (multiplicity 4)
Rh2 0.5000 0.5000 0.0000 (multiplicity 1)

# 11
A plane-wave DFT calculation with PBE was carried out for Ce2P2Ru5 after structural relaxation.

- ΔE_f (eV/f.u.) = -5.9
- N(E_F) (states/eV per atom) = 0.77
- magnetic moment (μB/cell) = 0.00

Lattice parameters (Å, degrees): 4.1199 4.1199 8.7338 90.00 90.00 90.00
Space group P4/mmm (No. 123)
Symmetry-distinct sites (fractional):
Ce1 0.0000 0.0000 0.0000 (multiplicity 1)
Ce2 0.0000 0.0000 0.5000 (multiplicity 1)
P1 0.5000 0.5000 0.1417 (multiplicity 2)
Ru1 0.0000 0.5000 0.2627 (multiplicity 4)
Ru2 0.5000 0.5000 0.5000 (multiplicity 1)

# 12
A plane-wave DFT calculation with PBE was carried out for Ce2PRu after structural relaxation.

- excess energy over the best structure of this formula in the dataset (eV/f.u.) = 1.86
- ΔE_f (eV/f.u.) = -1.2
- N(E_F) (states/eV per atom) = 1.25
- magnetic moment (μB/cell) = 0.01

Lattice parameters (Å, degrees): 3.6550 3.6550 25.3123 90.00 90.00 120.00
Space group R-3m (No. 166, hexagonal axes)
Symmetry-distinct sites (fractional):
Ce1 0.0000 0.0000 0.0954 (multiplicity 6)
P1 0.0000 0.0000 0.5000 (multiplicity 3)
Ru1 0.0000 0.0000 0.0000 (multiplicity 3)

# 13
A plane-wave DFT calculation with PBE was carried out for Ce3P4Ru4 after structural relaxation.

- ΔE_f (eV/f.u.) = -10.6
- N(E_F) (states/eV per atom) = 1.07
- magnetic moment (μB/cell) = 0.00

Lattice parameters (Å, degrees): 4.0080 7.0377 13.3320 90.00 90.00 90.00
Space group Immm (No. 71)
Symmetry-distinct sites (fractional):
Ce1 0.0000 0.0000 0.0000 (multiplicity 2)
Ce2 0.0000 0.5000 0.1197 (multiplicity 4)
P1 0.0000 0.0000 0.2183 (multiplicity 4)
P2 0.0000 0.2168 0.5000 (multiplicity 4)
Ru1 0.0000 0.2999 0.3235 (multiplicity 8)

# 14
A plane-wave DFT calculation with PBE was carried out for CeP2Ru4 after structural relaxation.

- excess energy over the best structure of this formula in the dataset (eV/f.u.) = 4.17
- ΔE_f (eV/f.u.) = -0.8
- N(E_F) (states/eV per atom) = 1.28
- magnetic moment (μB/cell) = 0.00

Lattice parameters (Å, degrees): 3.8670 3.8670 17.0229 90.00 90.00 90.00
Space group I4/mmm (No. 139)
Symmetry-distinct sites (fractional):
Ce1 0.0000 0.0000 0.0000 (multiplicity 2)
P1 0.0000 0.0000 0.3343 (multiplicity 4)
Ru1 0.0000 0.0000 0.1306 (multiplicity 4)
Ru2 0.0000 0.5000 0.2500 (multiplicity 4)

# 15
A plane-wave DFT calculation with PBE was carried out for Ce2P3Ru5 after structural relaxation.

- ΔE_f (eV/f.u.) = -7.2
- N(E_F) (states/eV per atom) = 0.62
- magnetic moment (μB/cell) = 0.00

Lattice parameters (Å, degrees): 4.0696 23.9281 6.5490 90.00 90.00 90.00
Space group Cmc2_1 (No. 36)
Symmetry-distinct sites (fractional):
Ce1 0.0000 0.0175 0.0000 (multiplicity 4)
Ce2 0.0000 0.3238 0.9830 (multiplicity 4)
P1 0.0000 0.1108 0.2572 (multiplicity 4)
P2 0.0000 0.2698 0.4737 (multiplicity 4)
P3 0.0000 0.4459 0.2156 (multiplicity 4)
Ru1 0.0000 0.1013 0.6555 (multiplicity 4)
Ru2 0.0000 0.2070 0.1773 (multiplicity 4)
Ru3 0.0000 0.2087 0.7699 (multiplicity 4)
Ru4 0.0000 0.3679 0.4671 (multiplicity 4)
Ru5 0.0000 0.4387 0.8491 (multiplicity 4)

# 16
A plane-wave DFT calculation with PBE was carried out for CeP12Ru4 after structural relaxation.

- ΔE_f (eV/f.u.) = -11.6
- N(E_F) (states/eV per atom) = 0.20
- magnetic moment (μB/cell) = 0.42

Lattice parameters (Å, degrees): 8.0884 8.0884 8.0884 90.00 90.00 90.00
Space group Im-3 (No. 204)
Symmetry-distinct sites (fractional):
Ce1 0.0000 0.0000 0.0000 (multiplicity 2)
P1 0.0000 0.3560 0.1437 (multiplicity 24)
Ru1 0.2500 0.2500 0.2500 (multiplicity 8)

# 17
A plane-wave DFT calculation with PBE was carried out for CeP2Ru4 after structural relaxation.

- excess energy over the best structure of this formula in the dataset (eV/f.u.) = 0.00
- ΔE_f (eV/f.u.) = -4.9
- N(E_F) (states/eV per atom) = 1.15
- magnetic moment (μB/cell) = 0.00

Lattice parameters (Å, degrees): 7.5417 7.5417 3.7980 90.00 90.00 90.00
Space group P4_2/mnm (No. 136)
Symmetry-distinct sites (fractional):
Ce1 0.0000 0.0000 0.0000 (multiplicity 2)
P1 0.2260 0.2260 0.5000 (multiplicity 4)
Ru1 0.0736 0.6622 0.5000 (multiplicity 8)

# 18
A plane-wave DFT calculation with PBE was carried out for Ce6PRu2 after structural relaxation.

- ΔE_f (eV/f.u.) = -3.6
- N(E_F) (states/eV per atom) = 2.33
- magnetic moment (μB/cell) = 6.62

Lattice parameters (Å, degrees): 15.6909 8.9325 6.4143 90.00 111.20 90.00
Space group C2/c (No. 15)
Symmetry-distinct sites (fractional):
Ce1 0.0788 0.0525 0.4694 (multiplicity 8)
Ce2 0.0888 0.3731 0.7124 (multiplicity 8)
Ce3 0.1775 0.2816 0.2048 (multiplicity 8)
P1 0.0000 0.3471 0.2500 (multiplicity 4)
Ru1 0.2400 0.0040 0.8992 (multiplicity 8)

# 19
A plane-wave DFT calculation with PBE was carried out for CeP2Ru2 after structural relaxation.

- ΔE_f (eV/f.u.) = -5.1
- N(E_F) (states/eV per atom) = 0.76
- magnetic moment (μB/cell) = 0.62

Lattice parameters (Å, degrees): 4.0726 4.0726 9.7469 90.00 90.00 90.00
Space group I4/mmm (No. 139)
Symmetry-distinct sites (fractional):
Ce1 0.0000 0.0000 0.0000 (multiplicity 2)
P1 0.0000 0.0000 0.3749 (multiplicity 4)
Ru1 0.0000 0.5000 0.2500 (multiplicity 4)

# 20
A plane-wave DFT calculation with PBE was carried out for CeP2Ru3 after structural relaxation.

- ΔE_f (eV/f.u.) = -5.0
- N(E_F) (states/eV per atom) = 0.88
- magnetic moment (μB/cell) = 0.00

Lattice parameters (Å, degrees): 15.9010 3.9271 9.6143 90.00 108.92 90.00
Space group C2/m (No. 12)
Symmetry-distinct sites (fractional):
Ce1 0.0000 0.0000 0.0000 (multiplicity 2)
Ce2 0.1569 0.0000 0.6950 (multiplicity 4)
P1 0.0385 0.5000 0.7771 (multiplicity 4)
P2 0.1377 0.5000 0.4481 (multiplicity 4)
P3 0.1973 0.0000 0.1300 (multiplicity 4)
Ru1 0.0000 0.5000 0.5000 (multiplicity 2)
Ru2 0.0432 0.0000 0.3295 (multiplicity 4)
Ru3 0.1227 0.5000 0.1983 (multiplicity 4)
Ru4 0.1801 0.5000 0.9600 (multiplicity 4)
Ru5 0.2202 0.0000 0.3908 (multiplicity 4)